# Li3Mo2O8

Crystalline Li3Mo2O8 at its relaxed geometry (PBE with a Hubbard U, Alexandria).

Output
Total moment, μB/atom: 0.084
Total DFT energy (no corrections), eV/atom: -6.2526
ρ, Mg/m³: 3.5
V, Å³/f.u.: 161.3

Geometry as POSCAR:
```
Li3Mo2O8
1.0
6.294 0.000 0.000
-3.147 5.870 0.000
0.000 0.000 8.729
Li O Mo
6 16 4
Cartesian
4.721 1.441 6.547 Li
1.574 1.441 6.547 Li
1.574 4.429 2.182 Li
3.147 0.000 4.364 Li
0.000 0.000 0.000 Li
-1.574 4.429 2.182 Li
0.000 3.045 2.450 O
1.469 1.356 4.393 O
-1.678 4.514 4.336 O
3.147 2.825 6.279 O
0.000 2.825 6.814 O
0.000 0.142 2.165 O
1.678 4.514 4.336 O
-1.469 4.514 0.029 O
3.147 0.142 2.199 O
4.616 1.356 8.700 O
4.825 1.356 4.393 O
0.000 5.729 6.529 O
3.147 5.729 6.564 O
1.678 1.356 8.700 O
3.147 3.045 1.915 O
1.469 4.514 0.029 O
0.000 4.375 7.715 Mo
0.000 1.495 3.350 Mo
3.147 1.495 1.014 Mo
3.147 4.375 5.379 Mo
```